Material: Sm6Sb2Te3I
Method: DFT, PBE
State: optimized geometry

Values from the calculation:
ΔE_f (raw)   -1.237 eV per atom
V   380.08 Å³/cell
Fermi-level density of states   0.48 states/eV/atom
Space-group type   C2/m, No. 12

Cell: 4.4752 8.9244 10.0121 Å, 102.46 102.91 90.00°
Positions (direct):
Te (0.1580, 0.8351, 0.3160)
Te (0.5000, 0.5000, 0.0000)
Te (0.8420, 0.1649, 0.6840)
Sm (0.3198, 0.9006, 0.6396)
Sm (0.0067, 0.2774, 0.0134)
Sm (0.6802, 0.0994, 0.3604)
Sm (0.3313, 0.4203, 0.6626)
Sm (0.9933, 0.7226, 0.9866)
Sm (0.6687, 0.5797, 0.3374)
Sb (0.8325, 0.6671, 0.6649)
Sb (0.1675, 0.3329, 0.3351)
I (0.5000, 0.0000, 0.0000)